Material: Li2TiSb
Method: DFT, PBE-GGA
State: optimized geometry

Cell: 3.9196 3.9196 20.8834 Å, 90.00 90.00 90.00°
Closest atoms and distances in Å follow each position.
Space group I-42d (No. 122)
Symmetry-distinct sites (fractional):
1 Li 0.2412 0.7500 0.1250 x8  4 Li 2.72-2.82, 2 Sb 2.94, 2 Ti 2.97
2 Ti 0.0000 0.0000 0.5000 x4  4 Sb 2.77, 4 Li 2.97
3 Sb 0.0000 0.0000 0.0000 x4  4 Ti 2.77, 4 Li 2.94

Uncorrected formation energy in kJ/mol of formula units: -24

Material: Rb3DyTe2O9
Method: DFT, PBE-GGA
State: optimized geometry

Cell: 5.9150 5.9150 7.2653 Å, 90.00 90.00 120.00°
Closest atoms and distances in Å follow each position.
Space group P-3m1 (No. 164)
Symmetry-distinct sites (fractional):
1 Rb 0.0000 0.0000 0.0000 x1  12 O 2.92-2.96
2 Rb 0.3333 0.6667 0.6674 x2  12 O 2.96-3.02
3 Dy 0.0000 0.0000 0.5000 x1  6 O 2.27
4 Te 0.3333 0.6667 0.1689 x2  6 O 1.91-2.10
5 O 0.0000 0.5000 0.0000 x3  2 Te 2.10
6 O 0.1777 0.3554 0.3144 x6  1 Te 1.91

Uncorrected formation energy in kJ/mol of formula units: -2355

Material: Nd2AlNi3Ge4
Method: DFT, PBE-GGA
State: optimized geometry

Cell: 4.1301 4.1301 10.2167 Å, 90.00 90.00 90.00°
Closest atoms and distances in Å follow each position.
Space group P-4m2 (No. 115)
Symmetry-distinct sites (fractional):
1 Nd 0.0000 0.5000 0.2399 x2  8 Ge 3.14-3.20, 6 Ni 3.16-3.37, 2 Al 3.37
2 Al 0.0000 0.0000 0.5000 x1  4 Ge 2.55
3 Ni 0.0000 0.5000 0.8794 x2  5 Ge 2.38-2.40
4 Ni 0.5000 0.5000 0.5000 x1  4 Ge 2.55
5 Ge 0.0000 0.0000 0.0000 x1  4 Ni 2.40
6 Ge 0.0000 0.5000 0.6465 x2  3 Ni 2.38-2.55, 2 Al 2.55
7 Ge 0.5000 0.5000 0.0000 x1  4 Ni 2.40

Formation enthalpy at 0 K in meV per atom: -680

Material: Tb4PrY6
Method: DFT, PBE-GGA
State: optimized geometry

Cell: 5.7378 9.7235 25.8657 Å, 90.00 90.00 90.00°
Closest atoms and distances in Å follow each position.
Space group Cmcm (No. 63)
Symmetry-distinct sites (fractional):
1 Tb 0.0000 0.0207 0.1210 x8  5 Y 3.14-3.34
2 Tb 0.0000 0.3394 0.0418 x8  8 Y 3.44-3.72, 2 Tb 3.71-3.80
3 Pr 0.0000 0.3215 0.7500 x4  3 Y 3.25-3.29
4 Y 0.0000 0.0000 0.0000 x4  8 Tb 3.14-3.47
5 Y 0.0000 0.0127 0.2500 x4  3 Pr 3.25-3.29, 2 Tb 3.34
6 Y 0.0000 0.3173 0.6019 x8  6 Tb 3.31-3.68
7 Y 0.0000 0.3493 0.1804 x8  4 Tb 3.55-3.66, 7 Y 3.60-3.87, 3 Pr 3.67-3.77

Formation enthalpy at 0 K in meV per atom: 115
Offset from the most stable computed form in eV per atom: 0.000

Material: La2TcSb
Method: DFT, PBE-GGA
State: optimized geometry

Cell: 3.6231 4.9387 12.0418 Å, 90.00 90.00 90.00°
Closest atoms and distances in Å follow each position.
Space group Imm2 (No. 44)
Symmetry-distinct sites (fractional):
1 La 0.0000 0.0000 0.0000 x2  4 Tc 3.07, 2 Sb 3.37
2 La 0.0000 0.5000 0.2095 x2  4 Sb 3.29, 2 Tc 3.31, 4 La 3.53-3.62
3 Tc 0.0000 0.0000 0.4792 x2  2 Sb 2.73
4 Sb 0.0000 0.5000 0.8093 x2  2 Tc 2.73

Uncorrected formation energy in kJ/mol of formula units: -128